(1)
# Nd8AgSb2

A relaxed structure of Nd8AgSb2 (GGA-PBE, Alexandria via LeMat-Bulk).

Cell lengths 19.595, 4.971, 7.363 Å; angles 90.00, 100.87, 90.00 degrees
Space group C2/m (No. 12)
Symmetry-distinct sites (fractional):
Nd: 0.015 0.000 0.266 x4
Nd: 0.094 0.500 0.992 x4
Nd: 0.159 0.500 0.516 x4
Nd: 0.214 0.000 0.842 x4
Ag: 0.000 0.500 0.500 x2
Sb: 0.182 0.000 0.262 x4



(2)
# Nd7Ag2Sb2

A relaxed structure of Nd7Ag2Sb2 (GGA-PBE, Alexandria via LeMat-Bulk).

Cell lengths 9.212, 11.277, 7.041 Å; angles 90.00, 90.00, 90.00 degrees
Space group Cmmm (No. 65)
Symmetry-distinct sites (fractional):
Nd: 0.000 0.000 0.000 x2
Nd: 0.000 0.500 0.252 x4
Nd: 0.250 0.250 0.268 x8
Ag: 0.000 0.275 0.000 x4
Sb: 0.189 0.000 0.500 x4



(3)
# Nd4AgSb

A relaxed structure of Nd4AgSb (GGA-PBE, Alexandria via LeMat-Bulk).

Cell lengths 5.665, 21.386, 6.521 Å; angles 90.00, 90.00, 90.00 degrees
Space group Cmcm (No. 63)
Symmetry-distinct sites (fractional):
Nd: 0.000 0.059 0.250 x4
Nd: 0.000 0.209 0.003 x8
Nd: 0.000 0.381 0.250 x4
Ag: 0.000 0.080 0.750 x4
Sb: 0.000 0.349 0.750 x4



(4)
# NdAg2Sb

A relaxed structure of NdAg2Sb (GGA-PBE, Alexandria via LeMat-Bulk).

Cell lengths 3.2678, 3.2678, 32.8923 Å; angles 90.00, 90.00, 120.00 degrees
Space group R-3m (No. 166, hexagonal axes)
Symmetry-distinct sites (fractional):
Nd: 0.0000 0.0000 0.0000 x3
Ag: 0.0000 0.0000 0.0924 x6
Sb: 0.0000 0.0000 0.5000 x3



(5)
# Nd12Ag6Sb

A relaxed structure of Nd12Ag6Sb (GGA-PBE, Alexandria via LeMat-Bulk).

Cell lengths 12.3268, 12.3268, 14.0655 Å; angles 90.00, 90.00, 120.00 degrees
Space group R-3 (No. 148, hexagonal axes)
Symmetry-distinct sites (fractional):
Nd: 0.0105 0.8206 0.3434 x18
Nd: 0.0530 0.1947 0.1090 x18
Ag: 0.0101 0.4250 0.5797 x18
Sb: 0.0000 0.0000 0.5000 x3



(6)
# Nd4Ag5Sb7

A relaxed structure of Nd4Ag5Sb7 (GGA-PBE, Alexandria via LeMat-Bulk).

Cell lengths 6.158, 6.158, 21.570 Å; angles 90.00, 90.00, 90.00 degrees
Space group I-42m (No. 121)
Symmetry-distinct sites (fractional):
Nd: 0.243 0.243 0.119 x8
Ag: 0.000 0.000 0.248 x4
Ag: 0.000 0.000 0.500 x2
Ag: 0.000 0.500 0.250 x4
Sb: 0.000 0.000 0.000 x2
Sb: 0.000 0.500 0.000 x4
Sb: 0.244 0.244 0.340 x8



(7)
# Nd4Ag2Sb

A relaxed structure of Nd4Ag2Sb (GGA-PBE, Alexandria via LeMat-Bulk).

Cell lengths 5.2971, 5.2971, 25.9064 Å; angles 90.00, 90.00, 120.00 degrees
Space group R-3m (No. 166, hexagonal axes)
Symmetry-distinct sites (fractional):
Nd: 0.0000 0.0000 0.1203 x6
Nd: 0.0000 0.0000 0.3718 x6
Ag: 0.0000 0.0000 0.2522 x6
Sb: 0.0000 0.0000 0.5000 x3



(8)
# Nd2AgSb4

A relaxed structure of Nd2AgSb4 (GGA-PBE, Alexandria via LeMat-Bulk).

Cell lengths 4.477, 4.477, 9.897 Å; angles 90.00, 90.00, 90.00 degrees
Space group P-4m2 (No. 115)
Symmetry-distinct sites (fractional):
Nd: 0.000 0.500 0.246 x2
Ag: 0.500 0.500 0.000 x1
Sb: 0.000 0.000 0.500 x1
Sb: 0.000 0.500 0.839 x2
Sb: 0.500 0.500 0.500 x1



(9)
# Nd3AgSb2

A relaxed structure of Nd3AgSb2 (GGA-PBE, Alexandria via LeMat-Bulk).

Cell lengths 14.204, 6.337, 9.036 Å; angles 90.00, 108.54, 90.00 degrees
Space group C2/c (No. 15)
Symmetry-distinct sites (fractional):
Nd: 0.000 0.001 0.250 x4
Nd: 0.175 0.500 0.087 x8
Ag: 0.000 0.499 0.750 x4
Sb: 0.165 0.000 0.083 x8



(10)
# Nd8Ag2Sb

A relaxed structure of Nd8Ag2Sb (GGA-PBE, Alexandria via LeMat-Bulk).

Cell lengths 19.001, 5.332, 7.265 Å; angles 90.00, 108.90, 90.00 degrees
Space group C2/m (No. 12)
Symmetry-distinct sites (fractional):
Nd: 0.023 0.000 0.269 x4
Nd: 0.094 0.500 0.968 x4
Nd: 0.172 0.500 0.494 x4
Nd: 0.200 0.000 0.836 x4
Ag: 0.174 0.000 0.225 x4
Sb: 0.000 0.500 0.500 x2



(11)
# Nd8Ag3Sb2

A relaxed structure of Nd8Ag3Sb2 (GGA-PBE, Alexandria via LeMat-Bulk).

Cell lengths 15.388, 8.568, 6.280 Å; angles 90.00, 91.63, 90.00 degrees
Space group C2/m (No. 12)
Symmetry-distinct sites (fractional):
Nd: 0.088 0.000 0.362 x4
Nd: 0.115 0.213 0.865 x8
Nd: 0.180 0.500 0.393 x4
Ag: 0.000 0.334 0.500 x4
Ag: 0.000 0.500 0.000 x2
Sb: 0.240 0.500 0.902 x4



(12)
# NdAgSb2

A relaxed structure of NdAgSb2 (GGA-PBE, Alexandria via LeMat-Bulk).

Cell lengths 4.835, 4.835, 4.380 Å; angles 90.00, 90.00, 90.00 degrees
Space group P4/mmm (No. 123)
Symmetry-distinct sites (fractional):
Nd: 0.000 0.000 0.000 x1
Ag: 0.500 0.500 0.000 x1
Sb: 0.000 0.500 0.500 x2



(13)
# Nd6AgSb2

A relaxed structure of Nd6AgSb2 (GGA-PBE, Alexandria via LeMat-Bulk).

Cell lengths 6.465, 8.466, 12.254 Å; angles 90.00, 121.68, 90.00 degrees
Space group P2_1/c (No. 14)
Symmetry-distinct sites (fractional):
Nd: 0.089 0.164 0.456 x4
Nd: 0.338 0.695 0.451 x4
Nd: 0.406 0.035 0.268 x4
Ag: 0.000 0.000 0.000 x2
Sb: 0.156 0.116 0.755 x4



(14)
# Nd5AgSb2

A relaxed structure of Nd5AgSb2 (GGA-PBE, Alexandria via LeMat-Bulk).

Cell lengths 6.042, 12.127, 14.862 Å; angles 90.00, 90.00, 90.00 degrees
Space group Cmcm (No. 63)
Symmetry-distinct sites (fractional):
Nd: 0.000 0.068 0.107 x8
Nd: 0.000 0.353 0.750 x4
Nd: 0.000 0.377 0.063 x8
Ag: 0.000 0.263 0.250 x4
Sb: 0.000 0.194 0.589 x8



(15)
# Nd4AgSb2

A relaxed structure of Nd4AgSb2 (GGA-PBE, Alexandria via LeMat-Bulk).

Cell lengths 16.127, 4.365, 7.651 Å; angles 90.00, 117.76, 90.00 degrees
Space group C2/m (No. 12)
Symmetry-distinct sites (fractional):
Nd: 0.120 0.000 0.271 x4
Nd: 0.120 0.500 0.811 x4
Ag: 0.000 0.000 0.500 x2
Sb: 0.242 0.000 0.736 x4



(16)
# NdAgSb2

A relaxed structure of NdAgSb2 (GGA-PBE, Alexandria via LeMat-Bulk).

Cell lengths 4.9620, 4.9620, 15.1127 Å; angles 90.00, 90.00, 120.00 degrees
Space group R-3m (No. 166, hexagonal axes)
Symmetry-distinct sites (fractional):
Nd: 0.0000 0.0000 0.0000 x3
Ag: 0.0000 0.0000 0.5000 x3
Sb: 0.0000 0.0000 0.2236 x6



(17)
# Nd5AgSb4

A relaxed structure of Nd5AgSb4 (GGA-PBE, Alexandria via LeMat-Bulk).

Cell lengths 10.090, 10.090, 6.367 Å; angles 90.00, 90.00, 90.00 degrees
Space group I4/m (No. 87)
Symmetry-distinct sites (fractional):
Nd: 0.000 0.000 0.000 x2
Nd: 0.105 0.692 0.500 x8
Ag: 0.000 0.000 0.500 x2
Sb: 0.101 0.701 0.000 x8



(18)
# NdAg4Sb

A relaxed structure of NdAg4Sb (GGA-PBE, Alexandria via LeMat-Bulk).

Cell lengths 8.069, 8.069, 8.069 Å; angles 90.00, 90.00, 90.00 degrees
Space group F-43m (No. 216)
Symmetry-distinct sites (fractional):
Nd: 0.000 0.000 0.000 x4
Ag: 0.125 0.125 0.625 x16
Sb: 0.250 0.250 0.250 x4



(19)
# NdScAgSb

A relaxed structure of NdScAgSb (GGA-PBE, Alexandria via LeMat-Bulk).

Cell lengths 7.333, 7.333, 7.333 Å; angles 90.00, 90.00, 90.00 degrees
Space group F-43m (No. 216)
Symmetry-distinct sites (fractional):
Nd: 0.000 0.000 0.000 x4
Sc: 0.000 0.000 0.500 x4
Ag: 0.250 0.250 0.750 x4
Sb: 0.250 0.250 0.250 x4



(20)
# NdAg2SbSe4

A relaxed structure of NdAg2SbSe4 (GGA-PBE, Alexandria via LeMat-Bulk).

Cell lengths 8.141, 8.418, 11.793 Å; angles 90.00, 90.00, 90.00 degrees
Space group Imma (No. 74)
Symmetry-distinct sites (fractional):
Nd: 0.000 0.000 0.000 x4
Ag: 0.000 0.000 0.500 x4
Ag: 0.250 0.250 0.250 x4
Sb: 0.250 0.250 0.750 x4
Se: 0.000 0.000 0.253 x8
Se: 0.244 0.250 0.504 x8



(21)
# NdSmAgSb

A relaxed structure of NdSmAgSb (GGA-PBE, Alexandria via LeMat-Bulk).

Cell lengths 7.567, 7.567, 7.567 Å; angles 90.00, 90.00, 90.00 degrees
Space group F-43m (No. 216)
Symmetry-distinct sites (fractional):
Nd: 0.000 0.000 0.000 x4
Sm: 0.000 0.000 0.500 x4
Ag: 0.250 0.250 0.750 x4
Sb: 0.250 0.250 0.250 x4



(22)
# SrNdAgSb

A relaxed structure of SrNdAgSb (GGA-PBE, Alexandria via LeMat-Bulk).

Cell lengths 7.772, 7.772, 7.772 Å; angles 90.00, 90.00, 90.00 degrees
Space group F-43m (No. 216)
Symmetry-distinct sites (fractional):
Sr: 0.000 0.000 0.000 x4
Nd: 0.000 0.000 0.500 x4
Ag: 0.250 0.250 0.750 x4
Sb: 0.250 0.250 0.250 x4



no.,DOS(E_F) (states/eV per cell),raw total energy (eV per cell),formation energy (no corrections) (meV per atom)
1,28.5,-107.201,-397
2,29.5,-98.887,-193
3,26.3,-111.256,-295
4,8.1,-40.322,288
5,73.8,-240.444,-90
6,6.4,-144.674,-635
7,25.7,-93.282,-314
8,3.2,-33.636,-680
9,23.8,-120.053,-769
10,22.6,-100.972,-229
11,32.4,-117.593,-297
12,2.2,-17.933,-517
13,22.4,-88.644,-513
14,37.6,-151.636,-372
15,15.8,-68.201,-562
16,7.3,-51.946,-363
17,12.3,-105.217,-943
18,9.5,-85.821,-193
19,18.8,-80.281,-499
20,0.7,-135.019,-653
21,16.3,-75.383,-596
22,14.7,-62.804,-569